Record 1
The following is a DFT calculation (PBE) of crystalline MgCr4P at its relaxed geometry.

Lattice parameters (Å, degrees): 4.798 4.798 4.798 60.00 60.00 60.00
Sites, in units of the cell vectors:
Mg (0.000, 0.000, 0.000)
Cr (0.125, 0.625, 0.625)
Cr (0.625, 0.125, 0.625)
Cr (0.625, 0.625, 0.125)
Cr (0.625, 0.625, 0.625)
P (0.250, 0.250, 0.250)

Values from the calculation:
Energy relative to the elements   2.40 eV/f.u.
Symmetry   F-43m, No. 216
Uncorrected energy   -0.528 Ry/atom
N(E_F)   3.83 states/eV per cell
Density   5.598 Mg/m³



Record 2
The following is a DFT calculation (PBE) of crystalline NaLi2LaP2 at its relaxed geometry.

Lattice parameters (Å, degrees): 4.330 4.330 7.104 90.00 90.00 120.00
Sites, in units of the cell vectors:
Na (0.000, 0.000, 0.000)
Li (0.333, 0.667, 0.158)
Li (0.667, 0.333, 0.842)
La (0.000, 0.000, 0.500)
P (0.333, 0.667, 0.750)
P (0.667, 0.333, 0.250)

Values from the calculation:
Energy relative to the elements   -5.56 eV/f.u.
Symmetry   P-3m1, No. 164
Uncorrected energy   -0.324 Ry/atom
Density   3.422 Mg/m³



Record 3
The following is a DFT calculation (PBE) of crystalline LiZr2AlCd at its relaxed geometry.

Lattice parameters (Å, degrees): 5.351 5.351 4.801 90.00 90.00 90.00
Sites, in units of the cell vectors:
Li (0.000, 0.000, 0.000)
Zr (0.000, 0.500, 0.500)
Zr (0.500, 0.000, 0.500)
Al (0.500, 0.500, 0.000)
Cd (0.500, 0.500, 0.500)

Values from the calculation:
Energy relative to the elements   4.75 eV/f.u.
Symmetry   P4/mmm, No. 123
Uncorrected energy   -0.278 Ry/atom
N(E_F)   7.39 states/eV per cell
Density   3.972 Mg/m³



Record 4
The following is a DFT calculation (PBE) of crystalline La2ErTl at its relaxed geometry.

Lattice parameters (Å, degrees): 3.781 3.781 9.320 90.00 90.00 90.00
Sites, in units of the cell vectors:
La (0.000, 0.000, 0.233)
La (0.000, 0.000, 0.767)
Er (0.500, 0.500, 0.500)
Tl (0.500, 0.500, 0.000)

Values from the calculation:
Excess energy over the best structure of this formula in the dataset   64.3 meV/atom
Energy relative to the elements   -0.56 eV/f.u.
Symmetry   P4/mmm, No. 123
Uncorrected energy   -0.319 Ry/atom
N(E_F)   7.11 states/eV per cell
Density   8.096 Mg/m³



Record 5
The following is a DFT calculation (PBE) of crystalline Er5HgSb2 at its relaxed geometry.

Lattice parameters (Å, degrees): 6.448 6.448 14.188 90.00 90.00 127.75
Sites, in units of the cell vectors:
Er (0.069, 0.931, 0.602)
Er (0.069, 0.931, 0.898)
Er (0.379, 0.621, 0.551)
Er (0.379, 0.621, 0.949)
Er (0.405, 0.595, 0.250)
Er (0.595, 0.405, 0.750)
Er (0.621, 0.379, 0.051)
Er (0.621, 0.379, 0.449)
Er (0.931, 0.069, 0.102)
Er (0.931, 0.069, 0.398)
Hg (0.293, 0.707, 0.750)
Hg (0.707, 0.293, 0.250)
Sb (0.200, 0.800, 0.109)
Sb (0.200, 0.800, 0.391)
Sb (0.800, 0.200, 0.609)
Sb (0.800, 0.200, 0.891)

Values from the calculation:
Symmetry   Cmcm, No. 63
ΔE_f (raw)   -8.6 kcal/mol of atoms
Uncorrected energy   -0.316 Ry/atom
N(E_F)   14.85 states/eV per cell
Density   9.116 Mg/m³



Record 6
The following is a DFT calculation (PBE) of crystalline ErTmHgPd at its relaxed geometry.

Lattice parameters (Å, degrees): 3.539 3.539 7.312 90.00 90.00 90.00
Sites, in units of the cell vectors:
Er (0.000, 0.000, 0.000)
Tm (0.000, 0.000, 0.543)
Hg (0.500, 0.500, 0.273)
Pd (0.500, 0.500, 0.769)

Values from the calculation:
Excess energy over the best structure of this formula in the dataset   0.0 meV/atom
Energy relative to the elements   -2.83 eV/f.u.
Symmetry   P4mm, No. 99
Uncorrected energy   -0.319 Ry/atom
N(E_F)   2.57 states/eV per cell
Density   11.660 Mg/m³



Record 7
The following is a DFT calculation (PBE) of crystalline KP2SO at its relaxed geometry.

Lattice parameters (Å, degrees): 4.073 4.073 5.978 90.00 90.00 90.00
Sites, in units of the cell vectors:
K (0.000, 0.000, 0.000)
P (0.000, 0.500, 0.500)
P (0.500, 0.000, 0.500)
S (0.500, 0.500, 0.000)
O (0.500, 0.500, 0.500)

Values from the calculation:
Excess energy over the best structure of this formula in the dataset   0.0 meV/atom
Symmetry   P4/mmm, No. 123
ΔE_f (raw)   9.4 kcal/mol of atoms
Uncorrected energy   -0.279 Ry/atom
N(E_F)   2.85 states/eV per cell
Density   2.497 Mg/m³



Record 8
The following is a DFT calculation (PBE) of crystalline Ca2As2Os at its relaxed geometry.

Lattice parameters (Å, degrees): 6.619 6.619 4.615 90.00 90.00 90.00
Sites, in units of the cell vectors:
Ca (0.175, 0.325, 0.000)
Ca (0.325, 0.825, 0.000)
Ca (0.675, 0.175, 0.000)
Ca (0.825, 0.675, 0.000)
As (0.141, 0.641, 0.500)
As (0.359, 0.141, 0.500)
As (0.641, 0.859, 0.500)
As (0.859, 0.359, 0.500)
Os (0.000, 0.000, 0.500)
Os (0.500, 0.500, 0.500)

Values from the calculation:
Energy relative to the elements   -2.82 eV/f.u.
Symmetry   P4/mbm, No. 127
Uncorrected energy   -0.402 Ry/atom
N(E_F)   3.92 states/eV per cell
Density   6.903 Mg/m³



Record 9
The following is a DFT calculation (PBE) of crystalline MnReTc2 at its relaxed geometry.

Lattice parameters (Å, degrees): 2.663 2.663 8.521 90.00 90.00 109.32
Sites, in units of the cell vectors:
Mn (0.000, 0.000, 0.000)
Re (0.000, 0.000, 0.500)
Tc (0.500, 0.500, 0.239)
Tc (0.500, 0.500, 0.761)

Values from the calculation:
Energy relative to the elements   0.83 eV/f.u.
Symmetry   Cmmm, No. 65
Uncorrected energy   -0.763 Ry/atom
N(E_F)   4.75 states/eV per cell
Density   12.728 Mg/m³



Record 10
The following is a DFT calculation (PBE) of crystalline CeCoSiNi at its relaxed geometry.

Lattice parameters (Å, degrees): 4.224 4.548 4.548 49.08 90.00 90.00
Sites, in units of the cell vectors:
Ce (0.000, 0.000, 0.000)
Co (0.000, 0.739, 0.739)
Si (0.500, 0.633, 0.633)
Ni (0.500, 0.314, 0.314)

Values from the calculation:
Symmetry   Amm2, No. 38
ΔE_f (raw)   -10.4 kcal/mol of atoms
Uncorrected energy   -0.479 Ry/atom
N(E_F)   3.22 states/eV per cell
Density   7.191 Mg/m³



Record 11
The following is a DFT calculation (PBE) of crystalline CeTmTe2Cl at its relaxed geometry.

Lattice parameters (Å, degrees): 4.361 4.361 15.022 90.00 90.00 90.00
Sites, in units of the cell vectors:
Ce (0.250, 0.250, 0.135)
Ce (0.750, 0.750, 0.865)
Tm (0.250, 0.250, 0.587)
Tm (0.750, 0.750, 0.413)
Te (0.250, 0.250, 0.384)
Te (0.250, 0.250, 0.792)
Te (0.750, 0.750, 0.208)
Te (0.750, 0.750, 0.616)
Cl (0.250, 0.750, 0.000)
Cl (0.750, 0.250, 0.000)

Values from the calculation:
Symmetry   P4/nmm, No. 129
ΔE_f (raw)   -35.3 kcal/mol of atoms
Uncorrected energy   -0.385 Ry/atom
N(E_F)   16.80 states/eV per cell
Density   6.971 Mg/m³



Record 12
The following is a DFT calculation (PBE) of crystalline Ce4TlSbTe2 at its relaxed geometry.

Lattice parameters (Å, degrees): 7.782 4.461 7.880 90.00 108.96 90.00
Sites, in units of the cell vectors:
Ce (0.247, 0.000, 0.247)
Ce (0.250, 0.500, 0.752)
Ce (0.750, 0.500, 0.248)
Ce (0.753, 0.000, 0.753)
Tl (0.000, 0.000, 0.500)
Sb (0.000, 0.500, 0.000)
Te (0.500, 0.000, 0.000)
Te (0.500, 0.500, 0.500)

Values from the calculation:
Symmetry   P2/m, No. 10
ΔE_f (raw)   -22.0 kcal/mol of atoms
Uncorrected energy   -0.406 Ry/atom
N(E_F)   27.95 states/eV per cell
Density   7.329 Mg/m³



Record 13
The following is a DFT calculation (PBE) of crystalline Ac6SnTe3Ir2 at its relaxed geometry.

Lattice parameters (Å, degrees): 7.858 7.858 8.442 99.06 99.06 120.03
Sites, in units of the cell vectors:
Ac (0.067, 0.428, 0.782)
Ac (0.212, 0.212, 0.215)
Ac (0.428, 0.067, 0.782)
Ac (0.572, 0.933, 0.218)
Ac (0.788, 0.788, 0.785)
Ac (0.933, 0.572, 0.218)
Sn (0.500, 0.500, 0.000)
Te (0.000, 0.000, 0.500)
Te (0.342, 0.658, 0.500)
Te (0.658, 0.342, 0.500)
Ir (0.167, 0.833, 0.000)
Ir (0.833, 0.167, 0.000)

Values from the calculation:
Symmetry   C2/m, No. 12
ΔE_f (raw)   -25.2 kcal/mol of atoms
Uncorrected energy   -0.422 Ry/atom
N(E_F)   7.75 states/eV per cell
Density   8.714 Mg/m³



Record 14
The following is a DFT calculation (PBE) of crystalline TbTh5C6 at its relaxed geometry.

Lattice parameters (Å, degrees): 6.502 6.502 6.505 99.60 99.60 119.99
Sites, in units of the cell vectors:
Tb (0.000, 0.000, 0.000)
Th (0.166, 0.834, 0.500)
Th (0.333, 0.667, 0.000)
Th (0.500, 0.500, 0.500)
Th (0.667, 0.333, 0.000)
Th (0.834, 0.166, 0.500)
C (0.084, 0.421, 0.252)
C (0.254, 0.254, 0.749)
C (0.421, 0.084, 0.252)
C (0.579, 0.916, 0.748)
C (0.746, 0.746, 0.251)
C (0.916, 0.579, 0.748)

Values from the calculation:
Energy relative to the elements   -2.93 eV/f.u.
Symmetry   C2/m, No. 12
Uncorrected energy   -0.612 Ry/atom
N(E_F)   5.34 states/eV per cell
Density   10.288 Mg/m³



Record 15
The following is a DFT calculation (PBE) of crystalline Tb2ScN at its relaxed geometry.

Lattice parameters (Å, degrees): 9.277 9.277 9.277 21.30 21.30 21.30
Sites, in units of the cell vectors:
Tb (0.117, 0.117, 0.117)
Tb (0.883, 0.883, 0.883)
Sc (0.000, 0.000, 0.000)
N (0.500, 0.500, 0.500)

Values from the calculation:
Symmetry   R-3m, No. 166
ΔE_f (raw)   -14.2 kcal/mol of atoms
Uncorrected energy   -0.485 Ry/atom
N(E_F)   5.29 states/eV per cell
Density   6.781 Mg/m³



Record 16
The following is a DFT calculation (PBE) of crystalline TeH2Os2 at its relaxed geometry.

Lattice parameters (Å, degrees): 5.212 5.212 5.212 136.75 136.75 62.83
Sites, in units of the cell vectors:
Te (0.000, 0.000, 0.000)
H (0.300, 0.300, 0.000)
H (0.700, 0.700, 0.000)
Os (0.250, 0.750, 0.500)
Os (0.750, 0.250, 0.500)

Values from the calculation:
Excess energy over the best structure of this formula in the dataset   0.0 meV/atom
Symmetry   I4/mmm, No. 139
Uncorrected energy   -0.423 Ry/atom
N(E_F)   3.56 states/eV per cell
Density   12.905 Mg/m³



Record 17
The following is a DFT calculation (PBE) of crystalline Pu2SbRu2 at its relaxed geometry.

Lattice parameters (Å, degrees): 5.381 5.381 5.381 129.23 115.47 86.42
Sites, in units of the cell vectors:
Pu (0.205, 0.205, 0.000)
Pu (0.795, 0.795, 0.000)
Sb (0.500, 0.000, 0.500)
Ru (0.234, 0.500, 0.734)
Ru (0.766, 0.500, 0.266)

Values from the calculation:
Symmetry   Immm, No. 71
ΔE_f (raw)   -6.6 kcal/mol of atoms
Uncorrected energy   -0.776 Ry/atom
N(E_F)   13.08 states/eV per cell
Density   12.971 Mg/m³



Record 18
The following is a DFT calculation (PBE) of crystalline ThMgSn2 at its relaxed geometry.

Lattice parameters (Å, degrees): 4.883 4.883 4.430 90.00 90.00 90.00
Sites, in units of the cell vectors:
Th (0.000, 0.000, 0.000)
Mg (0.500, 0.500, 0.000)
Sn (0.000, 0.500, 0.500)
Sn (0.500, 0.000, 0.500)

Values from the calculation:
Excess energy over the best structure of this formula in the dataset   28.8 meV/atom
Energy relative to the elements   -1.73 eV/f.u.
Symmetry   P4/mmm, No. 123
Uncorrected energy   -0.345 Ry/atom
N(E_F)   2.58 states/eV per cell
Density   7.762 Mg/m³



Record 19
The following is a DFT calculation (PBE) of crystalline Na2LiCuH4 at its relaxed geometry.

Lattice parameters (Å, degrees): 4.910 4.910 4.910 106.99 106.99 114.56
Sites, in units of the cell vectors:
Na (0.000, 0.500, 0.500)
Na (0.500, 0.000, 0.500)
Li (0.000, 0.000, 0.000)
Cu (0.500, 0.500, 0.000)
H (0.141, 0.141, 0.694)
H (0.448, 0.448, 0.306)
H (0.552, 0.859, 0.000)
H (0.859, 0.552, 0.000)

Values from the calculation:
Symmetry   I-42m, No. 121
Uncorrected energy   -0.210 Ry/atom
N(E_F)   0.00 states/eV per cell
Density   2.209 Mg/m³



Record 20
The following is a DFT calculation (PBE) of crystalline Al3CoI at its relaxed geometry.

Lattice parameters (Å, degrees): 4.709 4.709 4.709 90.00 90.00 90.00
Sites, in units of the cell vectors:
Al (0.000, 0.000, 0.500)
Al (0.000, 0.500, 0.000)
Al (0.500, 0.000, 0.000)
Co (0.000, 0.000, 0.000)
I (0.500, 0.500, 0.500)

Values from the calculation:
Excess energy over the best structure of this formula in the dataset   0.0 meV/atom
Symmetry   Pm-3m, No. 221
ΔE_f (raw)   0.1 kcal/mol of atoms
Uncorrected energy   -0.292 Ry/atom
N(E_F)   5.25 states/eV per cell
Density   4.242 Mg/m³



Record 21
The following is a DFT calculation (PBE) of crystalline NdYHoZn at its relaxed geometry.

Lattice parameters (Å, degrees): 3.587 3.587 8.746 90.00 90.00 90.00
Sites, in units of the cell vectors:
Nd (0.000, 0.000, 0.000)
Y (0.500, 0.500, 0.699)
Ho (0.500, 0.500, 0.295)
Zn (0.000, 0.000, 0.494)

Values from the calculation:
Excess energy over the best structure of this formula in the dataset   0.0 meV/atom
Energy relative to the elements   -0.67 eV/f.u.
Symmetry   P4mm, No. 99
Uncorrected energy   -0.326 Ry/atom
N(E_F)   4.70 states/eV per cell
Density   6.839 Mg/m³



Record 22
The following is a DFT calculation (PBE) of crystalline CrPd5Au at its relaxed geometry.

Lattice parameters (Å, degrees): 5.610 5.610 5.610 124.91 105.82 98.92
Sites, in units of the cell vectors:
Cr (0.000, 0.000, 0.000)
Pd (0.020, 0.520, 0.500)
Pd (0.124, 0.311, 0.813)
Pd (0.498, 0.311, 0.187)
Pd (0.682, 0.441, 0.759)
Pd (0.682, 0.922, 0.241)
Au (0.367, 0.867, 0.500)

Values from the calculation:
Excess energy over the best structure of this formula in the dataset   337.4 meV/atom
Energy relative to the elements   2.89 eV/f.u.
Symmetry   Imm2, No. 44
Uncorrected energy   -0.378 Ry/atom
N(E_F)   8.24 states/eV per cell
Density   10.134 Mg/m³



Record 23
The following is a DFT calculation (PBE) of crystalline CeTm5Ag4 at its relaxed geometry.

Lattice parameters (Å, degrees): 3.537 3.537 19.498 90.00 90.00 90.00
Sites, in units of the cell vectors:
Ce (0.000, 0.000, 0.000)
Tm (0.500, 0.500, 0.124)
Tm (0.500, 0.500, 0.311)
Tm (0.500, 0.500, 0.500)
Tm (0.500, 0.500, 0.689)
Tm (0.500, 0.500, 0.876)
Ag (0.000, 0.000, 0.217)
Ag (0.000, 0.000, 0.406)
Ag (0.000, 0.000, 0.594)
Ag (0.000, 0.000, 0.783)

Values from the calculation:
Energy relative to the elements   -2.50 eV/f.u.
Symmetry   P4/mmm, No. 123
Uncorrected energy   -0.310 Ry/atom
N(E_F)   8.50 states/eV per cell
Density   9.643 Mg/m³



Record 24
The following is a DFT calculation (PBE) of crystalline HfSi23 at its relaxed geometry.

Lattice parameters (Å, degrees): 10.185 10.185 10.185 90.00 90.00 90.00
Sites, in units of the cell vectors:
Hf (0.000, 0.000, 0.000)
Hf (0.500, 0.500, 0.500)
Si (0.000, 0.116, 0.307)
Si (0.000, 0.116, 0.693)
Si (0.000, 0.250, 0.500)
Si (0.000, 0.750, 0.500)
Si (0.000, 0.884, 0.307)
Si (0.000, 0.884, 0.693)
Si (0.116, 0.307, 0.000)
Si (0.116, 0.693, 0.000)
Si (0.182, 0.182, 0.182)
Si (0.182, 0.182, 0.818)
Si (0.182, 0.818, 0.182)
Si (0.182, 0.818, 0.818)
Si (0.193, 0.384, 0.500)
Si (0.193, 0.616, 0.500)
Si (0.250, 0.500, 0.000)
Si (0.307, 0.000, 0.116)
Si (0.307, 0.000, 0.884)
Si (0.318, 0.318, 0.318)
Si (0.318, 0.318, 0.682)
Si (0.318, 0.682, 0.318)
Si (0.318, 0.682, 0.682)
Si (0.384, 0.500, 0.193)
Si (0.384, 0.500, 0.807)
Si (0.500, 0.000, 0.250)
Si (0.500, 0.000, 0.750)
Si (0.500, 0.193, 0.384)
Si (0.500, 0.193, 0.616)
Si (0.500, 0.807, 0.384)
Si (0.500, 0.807, 0.616)
Si (0.616, 0.500, 0.193)
Si (0.616, 0.500, 0.807)
Si (0.682, 0.318, 0.318)
Si (0.682, 0.318, 0.682)
Si (0.682, 0.682, 0.318)
Si (0.682, 0.682, 0.682)
Si (0.693, 0.000, 0.116)
Si (0.693, 0.000, 0.884)
Si (0.750, 0.500, 0.000)
Si (0.807, 0.384, 0.500)
Si (0.807, 0.616, 0.500)
Si (0.818, 0.182, 0.182)
Si (0.818, 0.182, 0.818)
Si (0.818, 0.818, 0.182)
Si (0.818, 0.818, 0.818)
Si (0.884, 0.307, 0.000)
Si (0.884, 0.693, 0.000)

Values from the calculation:
Symmetry   Pm-3n, No. 223
ΔE_f (raw)   3.3 kcal/mol of atoms
Uncorrected energy   -0.402 Ry/atom
N(E_F)   19.18 states/eV per cell
Density   2.591 Mg/m³